1.
# PBE CuTcPt2, relaxed
data_CuTcPt2
_chemical_formula_sum 'Cu1 Tc1 Pt2'
_cell_length_a 4.726
_cell_length_b 4.726
_cell_length_c 4.785
_cell_angle_alpha 81.26
_cell_angle_beta 81.26
_cell_angle_gamma 33.49
_symmetry_space_group_name_H-M 'P 1'
_symmetry_Int_Tables_number 1
_symmetry_space_group_name_Hall 'P 1'
loop_
_atom_site_label
_atom_site_fract_x
_atom_site_fract_y
_atom_site_fract_z
Cu1 0.250 0.250 0.250
Pt1 0.001 0.001 0.999
Pt2 0.499 0.499 0.501
Tc1 0.750 0.750 0.750
# offset from the most stable computed form	0.1691	eV per atom
# final energy	-0.4891	Ry/atom
# crystal system	monoclinic

---

2.
# PBE Ac2SeBr, relaxed
data_Ac2SeBr
_chemical_formula_sum 'Ac2 Se1 Br1'
_cell_length_a 3.897
_cell_length_b 3.897
_cell_length_c 7.786
_cell_angle_alpha 90.00
_cell_angle_beta 90.00
_cell_angle_gamma 90.00
_symmetry_space_group_name_H-M 'P 1'
_symmetry_Int_Tables_number 1
_symmetry_space_group_name_Hall 'P 1'
loop_
_atom_site_label
_atom_site_fract_x
_atom_site_fract_y
_atom_site_fract_z
Ac1 0.000 0.000 0.761
Ac2 0.000 0.000 0.239
Se1 0.500 0.500 0.000
Br1 0.500 0.500 0.500
# offset from the most stable computed form	0.1622	eV per atom
# final energy	-0.3414	Ry/atom
# ΔE_f (raw)	-1.301	eV/atom
# crystal system	tetragonal

---

3.
# PBE La3TbEr12, relaxed
data_La3TbEr12
_chemical_formula_sum 'La3 Tb1 Er12'
_cell_length_a 5.033
_cell_length_b 5.033
_cell_length_c 20.151
_cell_angle_alpha 90.00
_cell_angle_beta 90.00
_cell_angle_gamma 90.00
_symmetry_space_group_name_H-M 'P 1'
_symmetry_Int_Tables_number 1
_symmetry_space_group_name_Hall 'P 1'
loop_
_atom_site_label
_atom_site_fract_x
_atom_site_fract_y
_atom_site_fract_z
La1 0.000 0.000 0.250
La2 0.000 0.000 0.500
La3 0.000 0.000 0.750
Tb1 0.000 0.000 0.000
Er1 0.500 0.500 0.000
Er2 0.500 0.500 0.248
Er3 0.500 0.500 0.500
Er4 0.500 0.500 0.752
Er5 0.500 0.000 0.122
Er6 0.500 0.000 0.374
Er7 0.500 0.000 0.626
Er8 0.500 0.000 0.878
Er9 0.000 0.500 0.122
Er10 0.000 0.500 0.374
Er11 0.000 0.500 0.626
Er12 0.000 0.500 0.878
# final energy	-0.3382	Ry/atom
# crystal system	tetragonal

---

4.
# PBE Rb3Ac3PaO8, relaxed
data_Rb3Ac3PaO8
_chemical_formula_sum 'Rb3 Ac3 Pa1 O8'
_cell_length_a 7.675
_cell_length_b 7.674
_cell_length_c 8.130
_cell_angle_alpha 118.17
_cell_angle_beta 90.00
_cell_angle_gamma 120.00
_symmetry_space_group_name_H-M 'P 1'
_symmetry_Int_Tables_number 1
_symmetry_space_group_name_Hall 'P 1'
loop_
_atom_site_label
_atom_site_fract_x
_atom_site_fract_y
_atom_site_fract_z
Rb1 0.000 0.000 0.000
Rb2 0.000 0.500 0.000
Rb3 0.500 0.500 0.000
Ac1 0.500 0.000 0.500
Ac2 0.500 0.500 0.500
Ac3 0.000 0.500 0.500
Pa1 0.000 0.000 0.500
O1 0.276 0.552 0.329
O2 0.724 0.448 0.671
O3 0.801 0.601 0.341
O4 0.199 0.399 0.659
O5 0.801 0.041 0.341
O6 0.199 0.959 0.659
O7 0.240 0.041 0.341
O8 0.760 0.959 0.659
# final energy	-0.5171	Ry/atom
# ΔE_f (raw)	-2.742	eV/atom
# crystal system	trigonal

---

What is the final energy in the third record? -0.3382 Ry/atom

---

What did the third record say?
# PBE La3TbEr12, relaxed
data_La3TbEr12
_chemical_formula_sum 'La3 Tb1 Er12'
_cell_length_a 5.033
_cell_length_b 5.033
_cell_length_c 20.151
_cell_angle_alpha 90.00
_cell_angle_beta 90.00
_cell_angle_gamma 90.00
_symmetry_space_group_name_H-M 'P 1'
_symmetry_Int_Tables_number 1
_symmetry_space_group_name_Hall 'P 1'
loop_
_atom_site_label
_atom_site_fract_x
_atom_site_fract_y
_atom_site_fract_z
La1 0.000 0.000 0.250
La2 0.000 0.000 0.500
La3 0.000 0.000 0.750
Tb1 0.000 0.000 0.000
Er1 0.500 0.500 0.000
Er2 0.500 0.500 0.248
Er3 0.500 0.500 0.500
Er4 0.500 0.500 0.752
Er5 0.500 0.000 0.122
Er6 0.500 0.000 0.374
Er7 0.500 0.000 0.626
Er8 0.500 0.000 0.878
Er9 0.000 0.500 0.122
Er10 0.000 0.500 0.374
Er11 0.000 0.500 0.626
Er12 0.000 0.500 0.878
# final energy	-0.3382	Ry/atom
# crystal system	tetragonal

---

Repeat the third record exactly.
# PBE La3TbEr12, relaxed
data_La3TbEr12
_chemical_formula_sum 'La3 Tb1 Er12'
_cell_length_a 5.033
_cell_length_b 5.033
_cell_length_c 20.151
_cell_angle_alpha 90.00
_cell_angle_beta 90.00
_cell_angle_gamma 90.00
_symmetry_space_group_name_H-M 'P 1'
_symmetry_Int_Tables_number 1
_symmetry_space_group_name_Hall 'P 1'
loop_
_atom_site_label
_atom_site_fract_x
_atom_site_fract_y
_atom_site_fract_z
La1 0.000 0.000 0.250
La2 0.000 0.000 0.500
La3 0.000 0.000 0.750
Tb1 0.000 0.000 0.000
Er1 0.500 0.500 0.000
Er2 0.500 0.500 0.248
Er3 0.500 0.500 0.500
Er4 0.500 0.500 0.752
Er5 0.500 0.000 0.122
Er6 0.500 0.000 0.374
Er7 0.500 0.000 0.626
Er8 0.500 0.000 0.878
Er9 0.000 0.500 0.122
Er10 0.000 0.500 0.374
Er11 0.000 0.500 0.626
Er12 0.000 0.500 0.878
# final energy	-0.3382	Ry/atom
# crystal system	tetragonal

---

Number 4 is which compound? Rb3Ac3PaO8